(1)
KZr3 | PBE-GGA | relaxed

Cell: 6.7508 6.7508 10.7112 Å, 90.00 90.00 120.00°
Atoms (fractional coordinates):
K 0.0000 0.0000 0.0000
K 0.0000 0.0000 0.5000
K 0.3333 0.6667 0.2500
K 0.6667 0.3333 0.7500
Zr 0.0000 0.5000 0.0000
Zr 0.0000 0.5000 0.5000
Zr 0.1821 0.3642 0.7500
Zr 0.1821 0.8179 0.7500
Zr 0.3642 0.1821 0.2500
Zr 0.5000 0.0000 0.0000
Zr 0.5000 0.0000 0.5000
Zr 0.5000 0.5000 0.0000
Zr 0.5000 0.5000 0.5000
Zr 0.6358 0.8179 0.7500
Zr 0.8179 0.1821 0.2500
Zr 0.8179 0.6358 0.2500

=====

(2)
KZr3 | PBE-GGA | relaxed

Cell: 5.3881 5.3881 7.6835 Å, 93.50 93.50 33.43°
Atoms (fractional coordinates):
K 0.0000 0.0000 0.0000
Zr 0.2346 0.2346 0.6639
Zr 0.5000 0.5000 0.5000
Zr 0.7654 0.7654 0.3361

=====

Number 1: energy -5.792 eV per atom. Number 2: energy -6.139 eV per atom.